No. 1
Compound: GdCuAgGe
Source: Alexandria
Functional: PBE
Structure: relaxed

Computed properties:
- Formation energy: -0.27 eV/atom
- N(E_F): 2.25 states/eV/cell

Cell and atoms, written as extended XYZ:
```
4
Lattice="-0.026 -4.700 -0.745 -0.590 -2.986 3.658 -4.052 -2.456 0.437" Properties=species:S:1:pos:R:3 pbc="T T T"
Ge -1.167 -2.536 0.838
Gd 0.000 0.000 0.000
Cu -3.501 -7.607 2.513
Ag -2.334 -5.071 1.675
```

***

No. 2
Compound: PrZn2CuNi2
Source: Alexandria
Functional: PBE
Structure: relaxed

Computed properties:
- Formation energy: 0.02 eV/atom
- N(E_F): 5.33 states/eV/cell

Cell and atoms, written as extended XYZ:
```
6
Lattice="-4.313 -1.169 0.263 0.689 -1.617 4.117 -1.168 4.777 2.072" Properties=species:S:1:pos:R:3 pbc="T T T"
Pr -0.584 2.389 1.036
Zn -2.694 2.214 3.755
Zn -2.098 -0.222 2.698
Cu 0.000 0.000 0.000
Ni -2.157 -0.584 0.131
Ni 0.345 -0.809 2.059
```

***

No. 3
Compound: Ca3TlP
Source: Alexandria
Functional: PBE
Structure: relaxed

Computed properties:
- Formation energy: -0.33 eV/atom
- ΔE to the lowest computed polymorph: 387 meV/atom
- N(E_F): 4.22 states/eV/cell

Cell and atoms, written as extended XYZ:
```
10
Lattice="1.329 7.881 -2.264 -3.990 -6.083 -4.010 -4.687 1.484 2.412" Properties=species:S:1:pos:R:3 pbc="T T T"
P -4.228 -3.262 -3.101
P -3.119 6.544 -0.761
Tl -2.223 2.002 -2.443
Tl -5.124 1.280 -1.419
Ca -4.081 -0.709 -4.386
Ca -2.768 -1.597 -1.288
Ca -4.579 4.878 -2.574
Ca -3.266 3.991 0.524
Ca 0.000 0.000 0.000
Ca -2.343 0.742 1.206
```

***

No. 4
Compound: Ca2CuSe
Source: Alexandria
Functional: PBE
Structure: relaxed

Computed properties:
- Uncorrected formation energy: -0.847 eV/atom
- N(E_F): 1.76 states/eV/cell

Cell and atoms, written as extended XYZ:
```
4
Lattice="-2.839 -4.235 -3.067 2.348 0.890 -3.402 2.878 -2.832 1.247" Properties=species:S:1:pos:R:3 pbc="T T T"
Ca 4.568 -1.700 -1.882
Ca 0.548 -2.847 -2.347
Cu 1.950 -0.727 -0.802
Se 3.160 -3.819 -3.424
```

***

No. 5
Compound: CsAgS3
Source: Alexandria
Functional: PBE
Structure: relaxed

Computed properties:
- Uncorrected formation energy: 0.149 eV/atom
- N(E_F): 6.73 states/eV/cell

Cell and atoms, written as extended XYZ:
```
5
Lattice="-4.592 -2.088 -0.274 1.835 -4.290 1.937 -1.033 1.662 4.658" Properties=species:S:1:pos:R:3 pbc="T T T"
Cs -1.895 -2.358 3.161
S 0.917 -2.145 0.969
S -0.516 0.831 2.329
S -2.296 -1.044 -0.137
Ag 0.000 0.000 0.000
```

***

No. 6
Compound: Tb3ErAs4
Source: Alexandria
Functional: PBE
Structure: relaxed

Computed properties:
- Formation energy: -1.54 eV/atom
- ΔE to the lowest computed polymorph: 0 meV/atom
- N(E_F): 0.74 states/eV/cell

Cell and atoms, written as extended XYZ:
```
8
Lattice="-5.361 -2.001 1.114 1.853 -5.456 -0.887 1.347 -0.461 5.653" Properties=species:S:1:pos:R:3 pbc="T T T"
As -2.681 -1.001 0.557
As 0.926 -2.728 -0.443
As 0.674 -0.231 2.827
As -1.081 -3.959 2.941
Tb 1.600 -2.959 2.383
Tb -2.007 -1.231 3.384
Tb -1.754 -3.729 0.114
Er 0.000 0.000 0.000
```

***

No. 7
Compound: Ac16Nd7Y6
Source: Alexandria
Functional: PBE
Structure: relaxed

Computed properties:
- Formation energy: 0.21 eV/atom
- N(E_F): 40.18 states/eV/cell

Cell and atoms, written as extended XYZ:
```
29
Lattice="10.405 0.000 6.007 3.468 9.810 6.007 0.000 0.000 12.014" Properties=species:S:1:pos:R:3 pbc="T T T"
Ac 12.153 8.594 14.993
Ac 12.153 8.594 21.050
Ac 10.405 3.648 18.021
Ac 6.907 8.594 18.021
Ac 1.720 1.216 2.978
Ac 1.720 1.216 9.036
Ac 3.468 6.162 6.007
Ac 6.966 1.216 6.007
Ac 8.962 6.337 8.506
Ac 8.962 6.337 15.523
Ac 6.936 0.608 12.014
Ac 2.885 6.337 12.014
Ac 4.911 3.473 8.506
Ac 4.911 3.473 15.523
Ac 6.936 9.202 12.014
Ac 10.987 3.473 12.014
Nd 0.000 0.000 0.000
Nd 5.202 0.000 9.011
Nd 1.734 4.905 3.004
Nd 1.734 4.905 9.011
Nd 5.202 0.000 3.004
Nd 0.000 0.000 6.007
Nd 6.936 4.905 6.007
Y 5.245 7.296 9.085
Y 8.627 2.513 14.943
Y 8.627 2.513 9.085
Y 5.245 7.296 14.943
Y 10.319 7.296 12.014
Y 3.554 2.513 12.014
```

***

No. 8
Compound: Na3Dy2SbS6
Source: Alexandria
Functional: PBE
Structure: relaxed

Computed properties:
- Uncorrected formation energy: -1.453 eV/atom
- N(E_F): 0.00 states/eV/cell

Cell and atoms, written as extended XYZ:
```
12
Lattice="-4.294 4.266 3.359 -0.856 -1.144 -6.773 -2.316 -6.181 2.514" Properties=species:S:1:pos:R:3 pbc="T T T"
Na -2.575 -3.350 -3.859
Na -4.889 0.291 2.960
Na -3.732 -1.530 -0.450
Dy -2.001 0.657 -3.399
Dy -3.149 2.464 -0.015
Sb 0.000 0.000 0.000
S -6.262 -1.508 1.056
S -4.337 0.911 -1.958
S -1.203 -1.551 -1.956
S -5.110 -3.320 -2.337
S -3.128 -3.970 1.058
S -2.354 0.260 1.438
```

***

No. 9
Compound: As2SeBr
Source: Alexandria
Functional: PBE
Structure: relaxed

Computed properties:
- ΔE to the lowest computed polymorph: 330 meV/atom
- Uncorrected formation energy: 0.287 eV/atom
- N(E_F): 1.21 states/eV/cell

Cell and atoms, written as extended XYZ:
```
4
Lattice="3.586 0.000 0.000 0.000 3.585 0.000 0.000 0.000 7.145" Properties=species:S:1:pos:R:3 pbc="T T T"
As 0.000 0.000 6.668
As 0.000 0.000 4.050
Se 1.793 1.792 5.359
Br 1.793 1.792 1.786
```

***

No. 10
Compound: ThBe2H8Pd
Source: Alexandria
Functional: PBE
Structure: relaxed

Computed properties:
- Final energy: -4.0466 eV/atom
- N(E_F): 0.34 states/eV/cell

Cell and atoms, written as extended XYZ:
```
12
Lattice="4.326 0.000 0.000 2.163 3.747 0.000 2.163 1.249 6.130" Properties=species:S:1:pos:R:3 pbc="T T T"
Th 4.326 2.498 3.065
Be 2.163 1.249 1.337
Be 6.489 3.747 4.792
H 2.163 1.249 2.899
H 3.595 1.345 1.178
H 6.489 3.747 3.230
H 5.690 2.440 1.178
H 2.963 2.555 4.952
H 3.694 3.707 1.178
H 4.958 1.288 4.952
H 5.058 3.650 4.952
Pd 0.000 0.000 0.000
```

***

No. 11
Compound: HfZr2Co2
Source: Alexandria
Functional: PBE
Structure: relaxed

Computed properties:
- Formation energy: -0.24 eV/atom
- ΔE to the lowest computed polymorph: 0 meV/atom
- N(E_F): 12.13 states/eV/cell

Cell and atoms, written as extended XYZ:
```
10
Lattice="7.160 0.000 0.000 0.000 7.160 0.000 0.000 0.000 3.402" Properties=species:S:1:pos:R:3 pbc="T T T"
Co 2.667 6.247 0.000
Co 6.247 4.494 0.000
Co 4.494 0.914 0.000
Co 0.914 2.667 0.000
Hf 0.000 0.000 0.000
Hf 3.580 3.580 0.000
Zr 1.198 4.778 1.701
Zr 4.778 5.962 1.701
Zr 5.962 2.382 1.701
Zr 2.382 1.198 1.701
```

***

Question: The highest N(E_F) belongs to which entry?
Answer: Ac16Nd7Y6

***

Question: What is the N(E_F) in the tenth record?
Answer: 0.34 states/eV/cell